No. 1
{"formula": "LiTb6Ni", "functional": "GGA-PBE", "state": "optimized geometry", "ef_mev_per_atom": 150.5, "sg": "P-1 (2)", "cell": [[-4.782, -2.525, 4.136], [-3.563, -5.502, -1.869], [1.298, -6.182, 3.318]], "species": ["Li", "Tb", "Tb", "Tb", "Tb", "Tb", "Tb", "Ni"], "frac_coords": [[0.500, 0.500, 0.500], [0.043, 0.423, 0.754], [0.780, 0.042, 0.754], [0.577, 0.220, 0.246], [0.220, 0.958, 0.246], [0.957, 0.577, 0.246], [0.423, 0.780, 0.754], [0.000, 0.000, 0.000]]}

No. 2
{"formula": "TmTePd", "functional": "GGA-PBE", "state": "optimized geometry", "formation_energy_uncorrected_ev_per_atom": -0.796, "sg": "I4mm (107)", "cell": [[-0.130, 3.176, 2.226], [-1.610, -2.071, 2.860], [5.029, -1.528, -0.908]], "species": ["Tm", "Te", "Pd"], "frac_coords": [[0.286, 0.286, 0.572], [0.627, 0.627, 0.253], [0.937, 0.937, 0.874]]}

No. 3
{"formula": "Sc2Se2O", "functional": "GGA-PBE", "state": "optimized geometry", "de_polymorph_kj_per_mol_atoms": 5.98, "formation_energy_uncorrected_ev_per_atom": -2.223, "sg": "Ibam (72)", "cell": [[5.008, 0.000, 2.137], [1.649, 5.666, 3.072], [0.123, 0.218, 6.648]], "species": ["Sc", "Sc", "Sc", "Sc", "Se", "Se", "Se", "Se", "O", "O"], "frac_coords": [[0.091, 0.613, 0.204], [0.909, 0.387, 0.796], [0.409, 0.796, 0.387], [0.591, 0.204, 0.613], [0.352, 0.276, 0.020], [0.648, 0.724, 0.980], [0.148, 0.980, 0.724], [0.852, 0.020, 0.276], [0.250, 0.500, 0.500], [0.750, 0.500, 0.500]]}